Computed, not measured: crystalline Eu3Mn5O12 at its relaxed geometry at the GGA+U level of DFT.

abc: 11.0230 11.0230 11.0230
angles: 109.47 109.47 109.47
Closest atoms and distances in Å follow each position.
Atoms (fractional coordinates):
Eu1 0.7500 0.3750 0.1250  8 O 2.42-2.58
Eu2 0.8750 0.7500 0.1250  8 O 2.42-2.58
Eu3 0.3750 0.7500 0.6250  8 O 2.42-2.58
Eu4 0.2500 0.1250 0.3750  8 O 2.42-2.58
Eu5 0.8750 0.1250 0.2500  8 O 2.42-2.58
Eu6 0.3750 0.6250 0.2500  8 O 2.42-2.58
Eu7 0.6250 0.3750 0.7500  8 O 2.42-2.58
Eu8 0.1250 0.8750 0.7500  8 O 2.42-2.58
Eu9 0.7500 0.8750 0.6250  8 O 2.42-2.58
Eu10 0.6250 0.2500 0.3750  8 O 2.42-2.58
Eu11 0.1250 0.2500 0.8750  8 O 2.42-2.58
Eu12 0.2500 0.6250 0.8750  8 O 2.42-2.58
Mn1 0.1250 0.3750 0.2500  4 O 1.93
Mn2 0.0000 0.5000 0.0000  6 O 2.00
Mn3 0.0000 0.0000 0.0000  6 O 2.00
Mn4 0.3750 0.2500 0.1250  4 O 1.93
Mn5 0.5000 0.0000 0.5000  6 O 2.00
Mn6 0.5000 0.5000 0.0000  6 O 2.00
Mn7 0.1250 0.7500 0.3750  4 O 1.93
Mn8 0.7500 0.1250 0.8750  4 O 1.93
Mn9 0.7500 0.6250 0.3750  4 O 1.93
Mn10 0.3750 0.1250 0.7500  4 O 1.93
Mn11 0.6250 0.8750 0.2500  4 O 1.93
Mn12 0.5000 0.5000 0.5000  6 O 2.00
Mn13 0.5000 0.0000 0.0000  6 O 2.00
Mn14 0.0000 0.0000 0.5000  6 O 2.00
Mn15 0.2500 0.3750 0.6250  4 O 1.93
Mn16 0.2500 0.8750 0.1250  4 O 1.93
Mn17 0.0000 0.5000 0.5000  6 O 2.00
Mn18 0.8750 0.2500 0.6250  4 O 1.93
Mn19 0.6250 0.7500 0.8750  4 O 1.93
Mn20 0.8750 0.6250 0.7500  4 O 1.93
O1 0.6966 0.1203 0.0238  2 Mn 1.93-2.00
O2 0.3272 0.5238 0.4035  2 Mn 1.93-2.00
O3 0.9762 0.3797 0.3034  2 Mn 1.93-2.00
O4 0.5238 0.1966 0.1203  2 Mn 1.93-2.00
O5 0.5763 0.6966 0.6728  2 Mn 1.93-2.00
O6 0.9762 0.5965 0.1728  2 Mn 1.93-2.00
O7 0.3272 0.8034 0.4237  2 Mn 1.93-2.00
O8 0.0965 0.9237 0.1203  2 Mn 1.93-2.00
O9 0.5965 0.9762 0.6728  2 Mn 1.93-2.00
O10 0.6966 0.5763 0.1728  2 Mn 1.93-2.00
O11 0.8034 0.4762 0.3797  2 Mn 1.93-2.00
O12 0.8272 0.9035 0.0238  2 Mn 1.93-2.00
O13 0.1203 0.6966 0.5238  2 Mn 1.93-2.00
O14 0.3797 0.4035 0.0763  2 Mn 1.93-2.00
O15 0.0763 0.9035 0.3797  2 Mn 1.93-2.00
O16 0.4237 0.1203 0.5965  2 Mn 1.93-2.00
O17 0.0763 0.1728 0.1966  2 Mn 1.93-2.00
O18 0.4762 0.6728 0.0965  2 Mn 1.93-2.00
O19 0.8272 0.9237 0.3034  2 Mn 1.93-2.00
O20 0.1203 0.4237 0.0965  2 Mn 1.93-2.00
O21 0.3797 0.9762 0.8034  2 Mn 1.93-2.00
O22 0.5965 0.6203 0.4237  2 Mn 1.93-2.00
O23 0.9035 0.8272 0.5238  2 Mn 1.93-2.00
O24 0.8034 0.3272 0.9237  2 Mn 1.93-2.00
O25 0.4035 0.3797 0.5763  2 Mn 1.93-2.00
O26 0.0965 0.1728 0.4762  2 Mn 1.93-2.00
O27 0.1966 0.6728 0.0763  2 Mn 1.93-2.00
O28 0.1728 0.0763 0.6966  2 Mn 1.93-2.00
O29 0.6203 0.0238 0.1966  2 Mn 1.93-2.00
O30 0.8797 0.5763 0.9035  2 Mn 1.93-2.00
O31 0.5238 0.3272 0.9035  2 Mn 1.93-2.00
O32 0.5763 0.8797 0.4035  2 Mn 1.93-2.00
O33 0.9237 0.8272 0.8034  2 Mn 1.93-2.00
O34 0.9237 0.0965 0.6203  2 Mn 1.93-2.00
O35 0.8797 0.3034 0.4762  2 Mn 1.93-2.00
O36 0.1728 0.0965 0.9762  2 Mn 1.93-2.00
O37 0.6203 0.5965 0.9237  2 Mn 1.93-2.00
O38 0.4035 0.0238 0.3272  2 Mn 1.93-2.00
O39 0.3034 0.4237 0.8272  2 Mn 1.93-2.00
O40 0.1966 0.5238 0.6203  2 Mn 1.93-2.00
O41 0.9035 0.0763 0.8797  2 Mn 1.93-2.00
O42 0.6728 0.1966 0.5763  2 Mn 1.93-2.00
O43 0.4762 0.8034 0.8797  2 Mn 1.93-2.00
O44 0.0238 0.4035 0.8272  2 Mn 1.93-2.00
O45 0.4237 0.3034 0.3272  2 Mn 1.93-2.00
O46 0.0238 0.6203 0.6966  2 Mn 1.93-2.00
O47 0.6728 0.4762 0.5965  2 Mn 1.93-2.00
O48 0.3034 0.8797 0.9762  2 Mn 1.93-2.00

## Properties
Total DFT energy (no corrections)   -8.35 eV per atom
SG   Ia-3d, No. 230